(1)
## YInAu2F (GGA-PBE)

Data for an optimized crystal structure of YInAu2F.

* M_tot: 0.000 μB per cell
* crystal system: tetragonal
* E: -21.8 eV/cell
* N(E_F): 2.06 states/eV/f.u.
* space-group type: P4/mmm, No. 123

Cell lengths 5.241, 4.173, 5.241 Å; angles 90.00, 90.00, 90.00 degrees
Element x y z (fractional)
In1 0.500 0.500 0.500
Au1 0.500 0.000 0.000
F1 0.000 0.000 0.000
Y1 0.000 0.500 0.000
Au2 0.000 0.000 0.500

(2)
## Re2HgS (GGA-PBE)

Data for an optimized crystal structure of Re2HgS.

* M_tot: 0.000 μB per cell
* crystal system: cubic
* N(E_F): 3.35 states/eV/f.u.
* excess energy over the best structure of this formula in the dataset: 272 meV/atom
* space-group type: Fm-3m, No. 225

Cell lengths 4.455, 4.455, 4.455 Å; angles 60.00, 60.00, 60.00 degrees
Element x y z (fractional)
Re1 0.250 0.250 0.250
Hg1 0.500 0.500 0.500
Re2 0.750 0.750 0.750
S1 0.000 0.000 0.000

(3)
## LiY2TiO (GGA-PBE)

Data for an optimized crystal structure of LiY2TiO.

* M_tot: 1.740 μB per cell
* crystal system: tetragonal
* E: -32.8 eV/cell
* N(E_F): 4.14 states/eV/f.u.
* space-group type: P4/mmm, No. 123

Cell lengths 5.026, 5.026, 3.964 Å; angles 90.00, 90.00, 90.00 degrees
Element x y z (fractional)
O1 0.000 0.000 0.000
Li1 0.500 0.500 0.500
Y1 0.000 0.500 0.000
Ti1 0.000 0.000 0.500
Y2 0.500 0.000 0.000

(4)
## Nd3TlI (GGA-PBE)

Data for an optimized crystal structure of Nd3TlI.

* M_tot: 0.000 μB per cell
* crystal system: monoclinic
* E: -81.1 eV/cell
* N(E_F): 4.82 states/eV/f.u.
* space-group type: C2/c, No. 15

Cell lengths 7.272, 9.767, 9.767 Å; angles 86.40, 75.93, 75.93 degrees
Element x y z (fractional)
Nd1 0.871 0.249 0.134
Tl1 0.250 0.105 0.895
Nd2 0.371 0.134 0.249
I1 0.443 0.439 0.307
Nd3 0.642 0.617 0.038
I2 0.557 0.561 0.693
Nd4 0.528 0.234 0.598
Nd5 0.358 0.383 0.962
Tl2 0.250 0.870 0.130
Nd6 0.028 0.598 0.234
Tl3 0.750 0.130 0.870
Nd7 0.129 0.751 0.866
Nd8 0.472 0.766 0.402
Nd9 0.142 0.038 0.617
I3 0.943 0.307 0.439
Nd10 0.858 0.962 0.383
Tl4 0.750 0.895 0.105
Nd11 0.629 0.866 0.751
I4 0.057 0.693 0.561
Nd12 0.972 0.402 0.766

(5)
## MgRePb2 (GGA-PBE)

Data for an optimized crystal structure of MgRePb2.

* M_tot: 0.663 μB per cell
* crystal system: monoclinic
* E: -18.6 eV/cell
* N(E_F): 3.60 states/eV/f.u.
* space-group type: C2/m, No. 12

Cell lengths 5.064, 5.064, 5.530 Å; angles 79.35, 79.35, 39.45 degrees
Element x y z (fractional)
Re1 0.750 0.750 0.750
Pb1 0.487 0.487 0.519
Mg1 0.250 0.250 0.250
Pb2 0.013 0.013 0.981

(6)
## Re3P (GGA-PBE)

Data for an optimized crystal structure of Re3P.

* M_tot: 0.000 μB per cell
* crystal system: trigonal
* N(E_F): 2.75 states/eV/f.u.
* excess energy over the best structure of this formula in the dataset: 152 meV/atom
* space-group type: R-3m, No. 166

Cell lengths 8.472, 8.472, 8.472 Å; angles 19.13, 19.13, 19.13 degrees
Element x y z (fractional)
P1 0.000 0.000 0.000
Re1 0.744 0.744 0.744
Re2 0.500 0.500 0.500
Re3 0.256 0.256 0.256

(7)
## KRb2CeI6 (GGA-PBE)

Data for an optimized crystal structure of KRb2CeI6.

* M_tot: 2.000 μB per cell
* crystal system: monoclinic
* E: -65.6 eV/cell
* N(E_F): 8.20 states/eV/f.u.
* space-group type: P2_1/c, No. 14

Cell lengths 8.648, 9.296, 12.546 Å; angles 90.00, 89.29, 90.00 degrees
Element x y z (fractional)
I1 0.875 0.542 0.235
Rb1 0.466 0.415 0.248
I2 0.329 0.713 0.433
I3 0.796 0.820 0.558
I4 0.625 0.042 0.265
Rb2 0.534 0.585 0.752
I5 0.171 0.213 0.067
I6 0.829 0.787 0.933
K1 0.000 0.500 0.500
I7 0.125 0.458 0.765
I8 0.704 0.320 0.942
Rb3 0.034 0.915 0.252
Ce1 0.000 0.500 0.000
I9 0.375 0.958 0.735
I10 0.671 0.287 0.567
I11 0.296 0.680 0.058
Rb4 0.966 0.085 0.748
I12 0.204 0.180 0.442
K2 0.500 0.000 0.000
Ce2 0.500 0.000 0.500

(8)
## Sm2TcI (GGA-PBE)

Data for an optimized crystal structure of Sm2TcI.

* M_tot: 0.000 μB per cell
* crystal system: trigonal
* N(E_F): 2.53 states/eV/f.u.
* excess energy over the best structure of this formula in the dataset: 121 meV/atom
* space-group type: R-3m, No. 166

Cell lengths 3.822, 3.822, 9.180 Å; angles 77.98, 77.98, 60.00 degrees
Element x y z (fractional)
Sm1 0.263 0.263 0.210
I1 0.500 0.500 0.500
Tc1 0.000 0.000 0.000
Sm2 0.737 0.737 0.790